No. 1
This record from Alexandria describes a geometry-optimized LaHoCoRu structure. The functional is PBE.

Values from the calculation:
Energy of formation   -0.5 eV/f.u.
Space-group type   F-43m
V   81.8 Å³/cell

Structure (POSCAR):
```
LaHoCoRu
1.0
4.872 0.000 0.000
2.436 4.220 0.000
2.436 1.407 3.978
Co Ho La Ru
1 1 1 1
direct
0.500 0.500 0.500 Co
0.750 0.750 0.750 Ho
0.250 0.250 0.250 La
0.000 0.000 0.000 Ru
```

No. 2
This record from Alexandria describes a geometry-optimized LaSmHoCo structure. The functional is PBE.

Values from the calculation:
Energy of formation   0.0 eV/f.u.
Space-group type   Amm2
V   112.2 Å³/cell

Structure (POSCAR):
```
LaSmHoCo
1.0
3.514 0.000 -0.409
0.000 4.703 -0.003
-2.732 -2.349 7.110
Ho Co La Sm
1 1 1 1
direct
0.921 0.650 0.862 Ho
0.385 0.132 0.827 Co
0.743 0.311 0.185 La
0.563 0.970 0.504 Sm
```

No. 3
This record from Alexandria describes a geometry-optimized LaTbHoCo structure. The functional is PBE.

Values from the calculation:
Energy of formation   0.0 eV/f.u.
Space-group type   Amm2
V   109.8 Å³/cell

Structure (POSCAR):
```
LaTbHoCo
1.0
-2.782 1.163 1.811
-2.678 -3.475 -1.881
5.720 -3.352 4.110
La Ho Tb Co
1 1 1 1
direct
0.751 0.315 0.193 La
0.920 0.649 0.862 Ho
0.560 0.969 0.501 Tb
0.381 0.130 0.822 Co
```

No. 4
This record from Alexandria describes a geometry-optimized LaYHoCo structure. The functional is PBE.

Values from the calculation:
Energy of formation   0.0 eV/f.u.
Space-group type   Amm2
V   110.6 Å³/cell

Structure (POSCAR):
```
LaYHoCo
1.0
-2.825 2.098 -0.017
-0.148 -0.236 -4.758
-1.029 -7.264 2.783
Ho Co Y La
1 1 1 1
direct
0.921 0.650 0.862 Ho
0.383 0.131 0.825 Co
0.561 0.970 0.502 Y
0.747 0.313 0.189 La
```

No. 5
This record from Alexandria describes a geometry-optimized LaHoZnCo structure. The functional is PBE.

Values from the calculation:
Energy of formation   -0.6 eV/f.u.
Space-group type   F-43m
V   88.3 Å³/cell

Structure (POSCAR):
```
LaHoZnCo
1.0
-0.089 -3.170 3.864
4.251 -1.223 2.329
0.886 1.673 4.626
Zn Co Ho La
1 1 1 1
direct
0.000 0.000 0.000 Zn
0.500 0.500 0.500 Co
0.250 0.250 0.250 Ho
0.750 0.750 0.750 La
```

No. 6
This record from Alexandria describes a geometry-optimized LiHoCo structure. The functional is PBE.

Values from the calculation:
Energy of formation   0.0 eV/f.u.
Space-group type   C2/m
V   119.5 Å³/cell
Offset from the most stable computed form   99.2 meV/atom

Structure (POSCAR):
```
LiHoCo
1.0
-2.891 -1.419 -2.068
0.810 -4.622 2.039
-2.572 2.801 5.214
Ho Co Li
2 2 2
direct
0.862 0.646 0.724 Ho
0.138 0.354 0.276 Ho
0.237 0.887 0.475 Co
0.763 0.113 0.525 Co
0.585 0.816 0.171 Li
0.415 0.184 0.829 Li
```

No. 7
This record from Alexandria describes a geometry-optimized LiHo12Co6 structure. The functional is PBE.

Values from the calculation:
Energy of formation   -3.4 eV/f.u.
Space-group type   Im-3
V   448.3 Å³/cell

Structure (POSCAR):
```
LiHo12Co6
1.0
7.873 0.000 -2.784
-3.937 6.818 -2.784
0.000 0.000 8.351
Co Ho Li
6 12 1
direct
0.387 0.500 0.887 Co
0.500 0.887 0.387 Co
0.887 0.387 0.500 Co
0.500 0.113 0.613 Co
0.613 0.500 0.113 Co
0.113 0.613 0.500 Co
0.196 0.694 0.890 Ho
0.196 0.306 0.501 Ho
0.306 0.501 0.196 Ho
0.110 0.804 0.306 Ho
0.501 0.196 0.306 Ho
0.694 0.890 0.196 Ho
0.306 0.110 0.804 Ho
0.804 0.694 0.499 Ho
0.890 0.196 0.694 Ho
0.694 0.499 0.804 Ho
0.499 0.804 0.694 Ho
0.804 0.306 0.110 Ho
0.000 0.000 0.000 Li
```

No. 8
This record from Alexandria describes a geometry-optimized LiHoCo structure. The functional is PBE.

Values from the calculation:
Energy of formation   -0.3 eV/f.u.
Space-group type   P2_1/m
V   123.7 Å³/cell
Offset from the most stable computed form   0.0 meV/atom

Structure (POSCAR):
```
LiHoCo
1.0
3.841 0.000 0.000
0.000 3.766 -0.395
0.000 -0.987 8.656
Ho Li Co
2 2 2
direct
0.250 0.911 0.821 Ho
0.750 0.089 0.179 Ho
0.750 0.296 0.592 Li
0.250 0.704 0.408 Li
0.250 0.534 0.068 Co
0.750 0.466 0.932 Co
```

No. 9
This record from Alexandria describes a geometry-optimized LiHo3Co structure. The functional is PBE.

Values from the calculation:
Energy of formation   0.0 eV/f.u.
Space-group type   Pm-3m
V   140.7 Å³/cell

Structure (POSCAR):
```
LiHo3Co
1.0
5.201 0.000 0.000
0.000 5.201 0.000
0.000 0.000 5.201
Ho Co Li
3 1 1
direct
0.000 0.500 0.000 Ho
0.000 0.000 0.500 Ho
0.500 0.000 0.000 Ho
0.000 0.000 0.000 Co
0.500 0.500 0.500 Li
```

No. 10
This record from Alexandria describes a geometry-optimized Li2Ho2Co15 structure. The functional is PBE.

Values from the calculation:
Energy of formation   -1.5 eV/f.u.
Space-group type   R-3m
V   241.7 Å³/cell

Structure (POSCAR):
```
Li2Ho2Co15
1.0
-3.891 2.297 4.339
2.006 -3.608 4.712
4.018 4.164 2.403
Co Ho Li
15 2 2
direct
0.707 0.000 0.293 Co
0.000 0.000 0.500 Co
0.157 0.651 0.651 Co
0.000 0.500 0.000 Co
0.651 0.157 0.651 Co
0.293 0.000 0.707 Co
0.000 0.707 0.293 Co
0.349 0.349 0.843 Co
0.293 0.707 0.000 Co
0.707 0.293 0.000 Co
0.349 0.843 0.349 Co
0.000 0.293 0.707 Co
0.651 0.651 0.157 Co
0.843 0.349 0.349 Co
0.500 0.000 0.000 Co
0.656 0.656 0.656 Ho
0.344 0.344 0.344 Ho
0.903 0.903 0.903 Li
0.097 0.097 0.097 Li
```

No. 11
This record from Alexandria describes a geometry-optimized LiHo8Co2 structure. The functional is PBE.

Values from the calculation:
Energy of formation   0.0 eV/f.u.
Space-group type   Cm
V   290.1 Å³/cell

Structure (POSCAR):
```
LiHo8Co2
1.0
5.471 0.215 -0.814
-1.691 6.879 -2.940
0.162 -0.118 7.667
Li Ho Co
1 8 2
direct
0.000 0.002 0.002 Li
0.417 0.932 0.669 Ho
0.000 0.252 0.755 Ho
0.000 0.755 0.252 Ho
0.583 0.074 0.338 Ho
0.203 0.393 0.393 Ho
0.796 0.613 0.613 Ho
0.583 0.338 0.074 Ho
0.417 0.669 0.932 Ho
0.500 0.699 0.307 Co
0.500 0.307 0.699 Co
```

No. 12
This record from Alexandria describes a geometry-optimized LiHoCo4 structure. The functional is PBE.

Values from the calculation:
Energy of formation   -0.5 eV/f.u.
Space-group type   F-43m
V   84.1 Å³/cell

Structure (POSCAR):
```
LiHoCo4
1.0
4.917 0.000 0.000
2.459 4.258 0.000
2.459 1.419 4.015
Co Ho Li
4 1 1
direct
0.625 0.625 0.124 Co
0.625 0.625 0.625 Co
0.124 0.625 0.625 Co
0.625 0.124 0.625 Co
0.250 0.250 0.250 Ho
0.000 0.000 0.000 Li
```